Record 1
! MnNiCl2 PBE optimized geometry; values from VASP
! Energy above the most stable polymorph in this dataset (meV per atom): 365.5
! Space-group type: R-3m, No. 166
! E_form (uncorrected) (eV/atom): -0.025
&SYSTEM
  ibrav = 0, nat = 12, ntyp = 3
/
ATOMIC_SPECIES
Mn 54.94 Mn.upf
Ni 58.69 Ni.upf
Cl 35.45 Cl.upf
CELL_PARAMETERS angstrom
3.473 0.000 0.000
-1.737 3.008 0.000
0.000 0.000 22.003
ATOMIC_POSITIONS angstrom
Mn 0.000 0.000 0.000
Mn 0.000 2.005 14.669
Mn 1.737 1.003 7.334
Ni 0.000 0.000 11.002
Ni 0.000 2.005 3.667
Ni 1.737 1.003 18.336
Cl 0.000 0.000 2.281
Cl 0.000 0.000 19.722
Cl 0.000 2.005 12.388
Cl 0.000 2.005 16.950
Cl 1.737 1.003 5.053
Cl 1.737 1.003 9.615

=====

Record 2
! LiTb2Ga3Au4 PBE optimized geometry; values from VASP
! Space-group type: P-4m2, No. 115
! E_tot (eV/atom): -3.935
&SYSTEM
  ibrav = 0, nat = 10, ntyp = 4
/
ATOMIC_SPECIES
Li 6.94 Li.upf
Tb 158.93 Tb.upf
Ga 69.72 Ga.upf
Au 196.97 Au.upf
CELL_PARAMETERS angstrom
4.317 0.000 0.000
0.000 4.317 0.000
0.000 0.000 10.792
ATOMIC_POSITIONS angstrom
Li 0.000 0.000 0.000
Tb 0.000 2.158 7.968
Tb 2.158 0.000 2.824
Ga 0.000 2.158 3.928
Ga 2.158 0.000 6.864
Ga 2.158 2.158 0.000
Au 0.000 0.000 5.396
Au 0.000 2.158 1.446
Au 2.158 0.000 9.346
Au 2.158 2.158 5.396

=====

Record 3
! BaBi4Br2O6 PBE optimized geometry; values from VASP
! Space-group type: I4/mmm, No. 139
! E_form (uncorrected) (eV/atom): -1.359
&SYSTEM
  ibrav = 0, nat = 13, ntyp = 4
/
ATOMIC_SPECIES
Ba 137.33 Ba.upf
Bi 208.98 Bi.upf
Br 79.90 Br.upf
O 16.00 O.upf
CELL_PARAMETERS angstrom
-2.013 2.013 17.243
2.013 -2.013 17.243
2.013 2.013 -17.243
ATOMIC_POSITIONS angstrom
Ba 0.000 0.000 0.000
Bi 0.000 0.000 9.847
Bi 0.000 0.000 14.430
Bi 0.000 0.000 20.056
Bi 0.000 0.000 24.639
Br 0.000 0.000 5.791
Br 0.000 0.000 28.695
O 2.013 0.000 1.866
O 2.013 0.000 8.621
O 2.013 0.000 15.377
O 0.000 2.013 1.866
O 0.000 2.013 8.621
O 0.000 2.013 15.377

=====

Record 4
! Pm4Pr4Y PBE optimized geometry; values from VASP
! Energy above the most stable polymorph in this dataset (meV per atom): 85.8
! Space-group type: P-1, No. 2
&SYSTEM
  ibrav = 0, nat = 9, ntyp = 3
/
ATOMIC_SPECIES
Pm 145.00 Pm.upf
Pr 140.91 Pr.upf
Y 88.91 Y.upf
CELL_PARAMETERS angstrom
3.795 0.000 0.000
-1.897 6.732 0.000
-1.890 -2.977 12.457
ATOMIC_POSITIONS angstrom
Pm -0.941 0.273 5.857
Pm -0.944 4.835 3.476
Pm 0.952 -1.080 8.981
Pm 0.950 3.481 6.600
Pr -2.845 3.629 11.101
Pr -0.943 1.764 9.064
Pr 0.951 1.990 3.392
Pr 2.853 0.126 1.356
Y 0.949 3.366 0.000